Computed, not measured: HgPPd2 after structural relaxation at the GGA-PBE level of DFT.

Output
As for the space group: P4/mmm, No. 123. The magnetization is 0.00 μB/cell. As for the formation energy: -0.161 eV/atom. The total energy comes out at -0.1538 Ha/atom. For the volume, the calculation gives 16.43 A^3/atom. The excess energy over the best structure of this formula in the dataset is 25 meV/atom. For the density of states at the Fermi level, the calculation gives 2.4 states/eV/f.u.

Cell lengths 3.0766, 3.0766, 6.9451 Å; angles 90.00, 90.00, 90.00 degrees
Closest atoms and distances in Å follow each position.
Element x y z (fractional)
Hg: 0.0000 0.0000 0.0000  8 Pd 3.00, 4 Hg 3.08
P: 0.0000 0.0000 0.5000  8 Pd 2.59
Pd: 0.5000 0.5000 0.2967  4 P 2.59, 1 Pd 2.82
Pd: 0.5000 0.5000 0.7033  4 P 2.59, 1 Pd 2.82